First-principles (PBE-GGA) data for an optimized crystal structure of CaRh3C, as listed in the Alexandria database.

Calculated values
- SG: C2/c (15)
- ΔE_f: -44 kJ/mol of formula units
- Raw total energy: -33.74 eV/f.u.

```
data_CaRh3C
_cell_length_a 10.163
_cell_length_b 7.585
_cell_length_c 7.585
_cell_angle_alpha 107.93
_cell_angle_beta 131.60
_cell_angle_gamma 48.40
_space_group_name_H-M_alt 'P 1'
_space_group_IT_number 1
loop_
_space_group_symop_operation_xyz
'x,y,z'
loop_
_atom_site_label
_atom_site_fract_x
_atom_site_fract_y
_atom_site_fract_z
Ca1 0.750 0.025 0.525
Ca2 0.250 0.975 0.475
Ca3 0.750 0.633 0.133
Ca4 0.250 0.367 0.867
Rh1 0.317 0.523 0.315
Rh2 0.183 0.815 0.023
Rh3 0.683 0.477 0.685
Rh4 0.817 0.185 0.977
Rh5 0.140 0.264 0.137
Rh6 0.360 0.637 0.764
Rh7 0.860 0.736 0.863
Rh8 0.640 0.363 0.236
Rh9 0.445 0.212 0.633
Rh10 0.055 0.133 0.712
Rh11 0.555 0.788 0.367
Rh12 0.945 0.867 0.288
C1 0.152 0.496 0.341
C2 0.348 0.841 0.996
C3 0.848 0.504 0.659
C4 0.652 0.159 0.004
```


First-principles (PBE-GGA) data for an optimized crystal structure of CaRh3C, as listed in the Alexandria database.

Calculated values
- SG: P6_3/mmc (194)
- ΔE_f: 242 kJ/mol of formula units
- Raw total energy: -30.77 eV/f.u.

```
data_CaRh3C
_cell_length_a 4.504
_cell_length_b 4.504
_cell_length_c 8.177
_cell_angle_alpha 90.00
_cell_angle_beta 90.00
_cell_angle_gamma 120.00
_space_group_name_H-M_alt 'P 1'
_space_group_IT_number 1
loop_
_space_group_symop_operation_xyz
'x,y,z'
loop_
_atom_site_label
_atom_site_fract_x
_atom_site_fract_y
_atom_site_fract_z
Ca1 0.333 0.667 0.750
Ca2 0.667 0.333 0.250
Rh1 0.000 0.000 0.250
Rh2 0.000 0.000 0.750
Rh3 0.333 0.667 0.078
Rh4 0.333 0.667 0.422
Rh5 0.667 0.333 0.578
Rh6 0.667 0.333 0.922
C1 0.000 0.000 0.000
C2 0.000 0.000 0.500
```


First-principles (PBE-GGA) data for an optimized crystal structure of CaRh3C, as listed in the Alexandria database.

Calculated values
- SG: I-4m2 (119)
- ΔE_f: 91 kJ/mol of formula units
- Raw total energy: -32.33 eV/f.u.

```
data_CaRh3C
_cell_length_a 5.265
_cell_length_b 5.265
_cell_length_c 7.146
_cell_angle_alpha 68.39
_cell_angle_beta 68.39
_cell_angle_gamma 90.00
_space_group_name_H-M_alt 'P 1'
_space_group_IT_number 1
loop_
_space_group_symop_operation_xyz
'x,y,z'
loop_
_atom_site_label
_atom_site_fract_x
_atom_site_fract_y
_atom_site_fract_z
Ca1 0.570 0.070 0.859
Ca2 0.930 0.430 0.141
Rh1 0.094 0.859 0.282
Rh2 0.141 0.906 0.718
Rh3 0.141 0.376 0.718
Rh4 0.624 0.859 0.282
Rh5 0.341 0.341 0.318
Rh6 0.659 0.659 0.682
C1 0.000 0.000 0.000
C2 0.250 0.750 0.500
```